## LiHfN2 (PBE-GGA)

Data for a relaxed structure of LiHfN2.

Geometry as POSCAR:
```
LiHfN2
1.0
-0.8619 0.8545 6.0560
-0.3107 -2.3840 5.6893
2.2310 -0.2716 5.7530
N Li Hf
2 1 1
Direct
0.8933 0.8933 0.8933 N
0.1067 0.1067 0.1067 N
0.0000 0.0000 0.0000 Li
0.5000 0.5000 0.5000 Hf
```

Summary:
Energy relative to the elements, uncorrected ... -0.804 eV per atom
Fermi-level density of states ... 2.249 states/eV per cell
Calculated volume ... 13.896 Å³/atom

=====

## Li3HfN (PBE-GGA)

Data for a relaxed structure of Li3HfN.

Geometry as POSCAR:
```
Li3HfN
1.0
-4.5803 0.9232 2.9296
-2.1335 -4.7402 -1.8418
2.2097 -2.6631 4.2940
Li Hf N
3 1 1
Direct
0.0000 0.5000 0.0000 Li
0.0000 0.0000 0.5000 Li
0.5000 0.0000 0.0000 Li
0.0000 0.0000 0.0000 Hf
0.5000 0.5000 0.5000 N
```

Summary:
Energy relative to the elements, uncorrected ... 2.161 eV per atom
Fermi-level density of states ... 2.555 states/eV per cell
Calculated volume ... 33.545 Å³/atom

=====

In eV per atom, the final energy values for the records above are, in order, -7.9335, -2.6429.